# PBE La3YHo4, relaxed
data_La3YHo4
_chemical_formula_sum 'La3 Y1 Ho4'
_space_group_name_H-M_alt 'P 1'
_space_group_IT_number 1
_space_group_name_Hall 'P 1'
_cell_length_a 9.0049
_cell_length_b 9.0049
_cell_length_c 9.0049
_cell_angle_alpha 157.56
_cell_angle_beta 98.00
_cell_angle_gamma 86.36
loop_
_atom_site_label
_atom_site_type_symbol
_atom_site_fract_x
_atom_site_fract_y
_atom_site_fract_z
_atom_site_occupancy
La1 La 0.0000 0.0000 0.0000 1
La2 La 0.2545 0.7545 0.5000 1
La3 La 0.7455 0.2455 0.5000 1
Y1 Y 0.5000 0.5000 0.0000 1
Ho1 Ho 0.1204 0.3653 0.7552 1
Ho2 Ho 0.3899 0.6347 0.7552 1
Ho3 Ho 0.6101 0.3653 0.2448 1
Ho4 Ho 0.8796 0.6347 0.2448 1
# **Energy relative to the lowest polymorph listed for this composition**: 0.105 eV/atom
# **Total moment**: 0.00 μB/cell
# **Electronic total energy**: -0.3533 Ry per atom
# **ΔE_f**: 138 meV/atom
# **Space-group type**: Immm, No. 71